No. 1
## Er2SiGe (PBE-GGA)

Data for Er2SiGe after structural relaxation.

abc: 4.0310 4.0310 26.6980
angles: 90.00 90.00 120.00
Space group R-3m (No. 166, hexagonal axes)
Unique sites:
Er: 0.0000 0.0000 0.1089 (multiplicity 6)
Si: 0.0000 0.0000 0.5000 (multiplicity 3)
Ge: 0.0000 0.0000 0.0000 (multiplicity 3)

Summary:
Electronic total energy ... -57.67 eV per cell
Crystal system ... trigonal
N(E_F) ... 0.945 states/eV per atom
M_tot ... 0.00 μB per cell



No. 2
## Er3Si2Ge2 (PBE-GGA)

Data for Er3Si2Ge2 after structural relaxation.

abc: 10.543 4.084 7.376
angles: 90.00 114.12 90.00
Space group C2/m (No. 12)
Unique sites:
Er: 0.000 0.000 0.000 (multiplicity 2)
Er: 0.182 0.000 0.642 (multiplicity 4)
Si: 0.193 0.500 0.925 (multiplicity 4)
Ge: 0.040 0.500 0.342 (multiplicity 4)

Summary:
Electronic total energy ... -77.61 eV per cell
Crystal system ... monoclinic
N(E_F) ... 0.454 states/eV per atom
M_tot ... 0.00 μB per cell



No. 3
## Er4SiGe2 (PBE-GGA)

Data for Er4SiGe2 after structural relaxation.

abc: 8.732 8.732 8.726
angles: 90.00 90.00 90.00
Space group I-42d (No. 122)
Unique sites:
Er: 0.066 0.684 0.443 (multiplicity 16)
Si: 0.000 0.000 0.500 (multiplicity 4)
Ge: 0.125 0.750 0.125 (multiplicity 8)

Summary:
Electronic total energy ... -154.32 eV per cell
Crystal system ... tetragonal
N(E_F) ... 0.093 states/eV per atom
M_tot ... 0.00 μB per cell



No. 4
## Er4Si5Ge2 (PBE-GGA)

Data for Er4Si5Ge2 after structural relaxation.

abc: 6.715 4.149 7.778
angles: 90.00 92.68 90.00
Space group P2/m (No. 10)
Unique sites:
Er: 0.237 0.000 0.375 (multiplicity 2)
Er: 0.248 0.000 0.886 (multiplicity 2)
Si: 0.135 0.500 0.618 (multiplicity 2)
Si: 0.462 0.500 0.158 (multiplicity 2)
Si: 0.500 0.500 0.500 (multiplicity 1)
Ge: 0.096 0.500 0.138 (multiplicity 2)

Summary:
Electronic total energy ... -61.01 eV per cell
Crystal system ... monoclinic
N(E_F) ... 0.265 states/eV per atom
M_tot ... 0.00 μB per cell



No. 5
## ErSiGe (PBE-GGA)

Data for ErSiGe after structural relaxation.

abc: 4.2825 4.2825 3.7965
angles: 90.00 90.00 120.00
Space group P-6m2 (No. 187)
Unique sites:
Er: 0.0000 0.0000 0.0000 (multiplicity 1)
Si: 0.3333 0.6667 0.5000 (multiplicity 1)
Ge: 0.6667 0.3333 0.5000 (multiplicity 1)

Summary:
Crystal system ... hexagonal
N(E_F) ... 0.801 states/eV per atom
Energy above the most stable polymorph in this dataset ... 152.3 meV/atom
M_tot ... 0.00 μB per cell



No. 6
## ErSi2Ge (PBE-GGA)

Data for ErSi2Ge after structural relaxation.

abc: 4.236 4.236 4.094
angles: 90.00 90.00 90.00
Space group P4/mmm (No. 123)
Unique sites:
Er: 0.000 0.000 0.000 (multiplicity 1)
Si: 0.000 0.500 0.500 (multiplicity 2)
Ge: 0.500 0.500 0.000 (multiplicity 1)

Summary:
Electronic total energy ... -20.94 eV per cell
Crystal system ... tetragonal
N(E_F) ... 0.429 states/eV per atom
M_tot ... 0.00 μB per cell



No. 7
## ErSiGe (PBE-GGA)

Data for ErSiGe after structural relaxation.

abc: 3.848 5.622 5.837
angles: 86.75 89.87 70.16
Space group P-1 (No. 2)
Unique sites:
Er: 0.159 0.180 0.245 (multiplicity 2)
Si: 0.500 0.500 0.000 (multiplicity 1)
Si: 0.500 0.500 0.500 (multiplicity 1)
Ge: 0.126 0.250 0.745 (multiplicity 2)

Summary:
Crystal system ... triclinic
N(E_F) ... 0.321 states/eV per atom
Energy above the most stable polymorph in this dataset ... 89.6 meV/atom
M_tot ... 0.00 μB per cell



No. 8
## Er3SiGe (PBE-GGA)

Data for Er3SiGe after structural relaxation.

abc: 7.0588 7.0588 19.6022
angles: 90.00 90.00 120.00
Space group R-3 (No. 148, hexagonal axes)
Unique sites:
Er: 0.0068 0.6919 0.2474 (multiplicity 18)
Si: 0.0000 0.0000 0.1546 (multiplicity 6)
Ge: 0.0000 0.0000 0.3426 (multiplicity 6)

Summary:
Electronic total energy ... -157.13 eV per cell
Crystal system ... trigonal
N(E_F) ... 0.811 states/eV per atom
M_tot ... 0.00 μB per cell



No. 9
## Er7Si2Ge2 (PBE-GGA)

Data for Er7Si2Ge2 after structural relaxation.

abc: 7.437 10.558 7.171
angles: 90.00 90.00 90.00
Space group Cmmm (No. 65)
Unique sites:
Er: 0.000 0.000 0.000 (multiplicity 2)
Er: 0.000 0.500 0.264 (multiplicity 4)
Er: 0.250 0.250 0.286 (multiplicity 8)
Si: 0.165 0.000 0.500 (multiplicity 4)
Ge: 0.000 0.294 0.000 (multiplicity 4)

Summary:
Electronic total energy ... -111.16 eV per cell
Crystal system ... orthorhombic
N(E_F) ... 0.900 states/eV per atom
M_tot ... 0.00 μB per cell



No. 10
## Er4Si2Ge (PBE-GGA)

Data for Er4Si2Ge after structural relaxation.

abc: 8.703 8.703 8.711
angles: 90.00 90.00 90.00
Space group I-42d (No. 122)
Unique sites:
Er: 0.067 0.183 0.310 (multiplicity 16)
Si: 0.125 0.250 0.625 (multiplicity 8)
Ge: 0.000 0.000 0.000 (multiplicity 4)

Summary:
Electronic total energy ... -156.26 eV per cell
Crystal system ... tetragonal
N(E_F) ... 0.096 states/eV per atom
M_tot ... 0.00 μB per cell



No. 11
## Er6Si2GeTe3 (PBE-GGA)

Data for Er6Si2GeTe3 after structural relaxation.

abc: 18.556 4.196 8.538
angles: 90.00 104.80 90.00
Space group C2/m (No. 12)
Unique sites:
Er: 0.008 0.000 0.233 (multiplicity 4)
Er: 0.160 0.500 0.102 (multiplicity 4)
Er: 0.174 0.500 0.565 (multiplicity 4)
Si: 0.167 0.000 0.333 (multiplicity 4)
Ge: 0.000 0.500 0.000 (multiplicity 2)
Te: 0.000 0.500 0.500 (multiplicity 2)
Te: 0.166 0.000 0.833 (multiplicity 4)

Summary:
Electronic total energy ... -130.90 eV per cell
Crystal system ... monoclinic
N(E_F) ... 0.174 states/eV per atom
M_tot ... 0.00 μB per cell



No. 12
## Er8SiGe3Te4 (PBE-GGA)

Data for Er8SiGe3Te4 after structural relaxation.

abc: 8.4067 8.4067 21.1048
angles: 90.00 90.00 120.00
Space group R-3m (No. 166, hexagonal axes)
Unique sites:
Er: 0.0000 0.0000 0.2394 (multiplicity 6)
Er: 0.0011 0.5006 0.2393 (multiplicity 18)
Si: 0.0000 0.0000 0.5000 (multiplicity 3)
Ge: 0.0000 0.5000 0.5000 (multiplicity 9)
Te: 0.0000 0.0000 0.0000 (multiplicity 3)
Te: 0.0000 0.5000 0.0000 (multiplicity 9)

Summary:
Electronic total energy ... -259.54 eV per cell
Crystal system ... trigonal
N(E_F) ... 0.148 states/eV per atom
M_tot ... 0.00 μB per cell